Entry from the Alexandria database: crystalline CaYCd at its relaxed geometry (PBE).

Results
As for the formation enthalpy at 0 K: -0.02 eV/f.u. As for the polymorph energy (0 for the lowest one): 0.1779 eV per atom. Its uncorrected energy is -3.13 eV/atom.

Cell lengths 5.222, 5.222, 9.207 Å; angles 73.53, 73.53, 60.00 degrees
Sites, in units of the cell vectors:
Cd 0.254 0.254 0.239
Cd 0.746 0.746 0.761
Y 0.372 0.372 0.885
Y 0.628 0.628 0.115
Ca 0.124 0.124 0.629
Ca 0.876 0.876 0.371

Entry from the Alexandria database: crystalline Pr3Ga4Ag2 at its relaxed geometry (PBE).

Results
As for the formation enthalpy at 0 K: -4.79 eV/f.u. Its uncorrected energy is -4.10 eV/atom.

Cell lengths 4.643, 6.017, 8.781 Å; angles 110.50, 90.00, 112.69 degrees
Sites, in units of the cell vectors:
Ag 0.602 0.203 0.270
Ag 0.398 0.797 0.730
Pr 0.329 0.657 0.341
Pr 0.671 0.343 0.659
Pr 0.000 0.000 0.000
Ga 0.740 0.480 0.075
Ga 0.969 0.938 0.631
Ga 0.260 0.520 0.925
Ga 0.031 0.062 0.369

Entry from the Alexandria database: crystalline PuTi4Bi4 at its relaxed geometry (PBE).

Results
As for the formation enthalpy at 0 K: 1.15 eV/f.u. Its uncorrected energy is -6.70 eV/atom.

Cell lengths 5.795, 8.555, 8.555 Å; angles 90.00, 90.00, 90.00 degrees
Site moments in Bohr magnetons follow the coordinates.
Sites, in units of the cell vectors:
Ti 0.390 0.817 0.893  0.10
Ti 0.890 0.393 0.683  0.10
Ti 0.390 0.183 0.107  0.10
Ti 0.610 0.893 0.183  0.10
Ti 0.110 0.317 0.393  0.10
Ti 0.610 0.107 0.817  0.10
Ti 0.110 0.683 0.607  0.10
Ti 0.890 0.607 0.317  0.10
Bi 0.128 0.089 0.665  -0.02
Bi 0.628 0.835 0.589  -0.02
Bi 0.872 0.665 0.911  -0.02
Bi 0.628 0.165 0.411  -0.02
Bi 0.372 0.411 0.835  -0.02
Bi 0.872 0.335 0.089  -0.02
Bi 0.372 0.589 0.165  -0.02
Bi 0.128 0.911 0.335  -0.02
Pu 0.000 0.000 0.000  5.43
Pu 0.500 0.500 0.500  5.43

Entry from the Alexandria database: crystalline Np4Se5O at its relaxed geometry (PBE).

Results
The calculation puts the formation energy without anion corrections at -1.22 eV/atom. Its uncorrected energy is -8.64 eV/atom.

Cell lengths 3.950, 7.672, 8.841 Å; angles 103.45, 102.91, 90.00 degrees
Site moments in Bohr magnetons follow the coordinates.
Sites, in units of the cell vectors:
Se 0.837 0.663 0.674  -0.14
Se 0.500 0.500 0.000  -0.14
Se 0.173 0.824 0.347  -0.14
Se 0.163 0.337 0.326  -0.14
Se 0.827 0.176 0.653  -0.14
Np 0.004 0.776 0.007  4.03
Np 0.996 0.224 0.993  4.03
Np 0.656 0.080 0.312  3.77
Np 0.344 0.920 0.688  3.77
O 0.500 0.000 0.000  -0.12

Entry from the Alexandria database: crystalline Rb8P2S at its relaxed geometry (PBE).

Results
The calculation puts the formation energy without anion corrections at -0.33 eV/atom. Its uncorrected energy is -2.39 eV/atom.

Cell lengths 5.792, 8.097, 10.407 Å; angles 112.90, 106.16, 90.00 degrees
Sites, in units of the cell vectors:
Rb 0.800 0.800 0.599
Rb 0.200 0.200 0.401
Rb 0.358 0.598 0.716
Rb 0.000 0.263 0.000
Rb 0.000 0.737 0.000
Rb 0.642 0.882 0.284
Rb 0.642 0.402 0.284
Rb 0.358 0.118 0.716
P 0.824 0.324 0.648
P 0.176 0.676 0.352
S 0.500 0.000 0.000

Entry from the Alexandria database: crystalline TbErSc2P4 at its relaxed geometry (PBE).

Results
As for the formation enthalpy at 0 K: -12.29 eV/f.u. Its uncorrected energy is -6.97 eV/atom.

Cell lengths 3.885, 6.707, 6.725 Å; angles 70.46, 90.00, 90.00 degrees
Sites, in units of the cell vectors:
Sc 0.500 0.000 0.500
Sc 0.000 0.000 0.000
P 0.000 0.765 0.743
P 0.500 0.764 0.247
P 0.000 0.235 0.257
P 0.500 0.236 0.753
Er 0.000 0.500 0.500
Tb 0.500 0.500 0.000

Please write out number 1 again, unchanged.
Entry from the Alexandria database: crystalline CaYCd at its relaxed geometry (PBE).

Results
As for the formation enthalpy at 0 K: -0.02 eV/f.u. As for the polymorph energy (0 for the lowest one): 0.1779 eV per atom. Its uncorrected energy is -3.13 eV/atom.

Cell lengths 5.222, 5.222, 9.207 Å; angles 73.53, 73.53, 60.00 degrees
Sites, in units of the cell vectors:
Cd 0.254 0.254 0.239
Cd 0.746 0.746 0.761
Y 0.372 0.372 0.885
Y 0.628 0.628 0.115
Ca 0.124 0.124 0.629
Ca 0.876 0.876 0.371

- Among the records above, which one has the highest uncorrected energy?
  Rb8P2S